The following is a DFT calculation (PBE) of an optimized crystal structure of Ga2CoPd.

a = 3.772 Å, b = 3.772 Å, c = 5.408 Å
α = 69.59°, β = 69.59°, γ = 60.00°
Fractional coordinates of all 4 atoms:
Ga  0.070  0.070  0.791
Ga  0.262  0.262  0.215
Co  0.676  0.676  0.973
Pd  0.493  0.493  0.521

ΔH_f (0 K) = -223 meV per atom
DFT total energy = -4.811 eV/atom

***

The following is a DFT calculation (PBE) of an optimized crystal structure of Ga2CoPd2.

a = 7.095 Å, b = 7.095 Å, c = 2.956 Å
α = 90.00°, β = 90.00°, γ = 90.00°
Last column: magnetic moment on the atom in μB.
Fractional coordinates of all 10 atoms:
Co  0.000  0.000  0.000  1.69
Co  0.500  0.500  0.000  1.69
Ga  0.350  0.850  0.000  -0.01
Ga  0.850  0.650  0.000  -0.01
Ga  0.650  0.150  0.000  -0.01
Ga  0.150  0.350  0.000  -0.01
Pd  0.150  0.650  0.500  0.01
Pd  0.650  0.850  0.500  0.00
Pd  0.850  0.350  0.500  0.01
Pd  0.350  0.150  0.500  0.00

ΔH_f (0 K) = -256 meV per atom
DFT total energy = -4.966 eV/atom

***

The following is a DFT calculation (PBE) of an optimized crystal structure of Ga2Co2Pd.

a = 6.858 Å, b = 6.858 Å, c = 2.781 Å
α = 90.00°, β = 90.00°, γ = 90.00°
Fractional coordinates of all 10 atoms:
Co  0.147  0.647  0.500
Co  0.647  0.853  0.500
Co  0.853  0.353  0.500
Co  0.353  0.147  0.500
Ga  0.351  0.851  0.000
Ga  0.851  0.649  0.000
Ga  0.649  0.149  0.000
Ga  0.149  0.351  0.000
Pd  0.000  0.000  0.000
Pd  0.500  0.500  0.000

ΔH_f (0 K) = -201 meV per atom
DFT total energy = -5.292 eV/atom